Entry 1:
Below is a relaxed ScAl2CF crystal, with properties calculated at the PBE-GGA level.

Properties
Mass density: 2.92 g/cm3
ΔE to the lowest computed polymorph: 0 meV per atom

Cell lengths 3.8842, 4.8985, 3.8842 Å; angles 90.00, 90.00, 90.00 degrees
Last column: nearest neighbours and their distance in Å.
Positions (direct):
C 0.0000 0.0000 0.0000  4 Al 1.94
Al 0.0000 0.0000 0.5000  2 C 1.94
Al 0.5000 0.0000 0.0000  2 C 1.94
Sc 0.0000 0.5000 0.0000  2 C 2.45
F 0.5000 0.5000 0.5000  4 Sc 2.75

=====

Entry 2:
Below is a relaxed Er4InTe crystal, with properties calculated at the PBE-GGA level.

Properties
Mass density: 9.03 g/cm3
Total energy: -4.57 eV/atom

Cell lengths 6.0614, 8.5616, 6.4667 Å; angles 90.00, 90.00, 93.00 degrees
Last column: nearest neighbours and their distance in Å.
Positions (direct):
In 0.6889 0.3896 0.2500  8 Er 2.99-3.30
In 0.3111 0.6104 0.7500  8 Er 2.99-3.30
Er 0.6280 0.3433 0.7500  3 In 3.06-3.28, 1 Te 3.07, 2 Er 3.35
Er 0.3422 0.9595 0.7500  1 In 2.99, 2 Te 3.04-3.13
Er 0.1451 0.3075 0.4971  2 In 3.18-3.30, 4 Er 3.20-3.56, 2 Te 3.27-3.38
Er 0.8549 0.6925 0.5029  2 In 3.18-3.30, 4 Er 3.20-3.56, 2 Te 3.27-3.38
Er 0.8549 0.6925 0.9971  2 In 3.18-3.30, 4 Er 3.20-3.56, 2 Te 3.27-3.38
Er 0.3720 0.6567 0.2500  3 In 3.06-3.28, 1 Te 3.07, 2 Er 3.35
Er 0.1451 0.3075 0.0029  2 In 3.18-3.30, 4 Er 3.20-3.56, 2 Te 3.27-3.38
Er 0.6579 0.0405 0.2500  1 In 2.99, 2 Te 3.04-3.13
Te 0.1602 0.9744 0.2500  7 Er 3.04-3.38
Te 0.8398 0.0256 0.7500  7 Er 3.04-3.38

=====

Entry 3:
Below is a relaxed LiTmPuSi crystal, with properties calculated at the PBE-GGA level.

Properties
Mass density: 8.69 g/cm3
Total energy: -6.71 eV/atom

Cell lengths 4.9464, 4.9464, 4.9464 Å; angles 60.00, 60.00, 60.00 degrees
Last column: nearest neighbours and their distance in Å.
Positions (direct):
Si 0.7500 0.7500 0.7500  4 Tm 3.03, 4 Pu 3.03
Pu 0.0000 0.0000 0.0000  4 Li 3.03, 4 Si 3.03
Tm 0.5000 0.5000 0.5000  4 Si 3.03, 4 Li 3.03
Li 0.2500 0.2500 0.2500  4 Tm 3.03, 4 Pu 3.03

=====

Entry 4:
Below is a relaxed TbCd12 crystal, with properties calculated at the PBE-GGA level.

Properties
Energy relative to the elements: -0.079 eV per atom
Mass density: 8.47 g/cm3

Cell lengths 6.0015, 7.6344, 7.6344 Å; angles 81.11, 66.86, 66.86 degrees
Last column: nearest neighbours and their distance in Å.
Positions (direct):
Cd 0.5000 0.7876 0.2124  8 Cd 2.92-3.22
Cd 0.0000 0.6500 0.3500  9 Cd 2.98-3.30
Cd 0.5000 0.0000 0.5000  10 Cd 2.92-3.07
Cd 0.2876 0.2124 0.2124  8 Cd 2.92-3.22
Cd 0.6500 0.3500 0.3500  9 Cd 2.98-3.30
Cd 0.5000 0.5000 0.0000  10 Cd 2.92-3.07
Cd 0.0000 0.5000 0.0000  10 Cd 2.92-3.07
Cd 0.7124 0.7876 0.7876  8 Cd 2.92-3.22
Cd 0.0000 0.0000 0.5000  10 Cd 2.92-3.07
Cd 0.3500 0.6500 0.6500  9 Cd 2.98-3.30
Cd 0.5000 0.2124 0.7876  8 Cd 2.92-3.22
Cd 0.0000 0.3500 0.6500  9 Cd 2.98-3.30
Tb 0.0000 0.0000 0.0000  20 Cd 3.47-3.82

=====

Entry 5:
Below is a relaxed ScAlRe crystal, with properties calculated at the PBE-GGA level.

Properties
Energy relative to the elements: -0.434 eV per atom
Mass density: 8.21 g/cm3
ΔE to the lowest computed polymorph: 2 meV per atom

Cell lengths 5.2739, 5.2739, 8.6322 Å; angles 90.00, 90.00, 119.55 degrees
Last column: nearest neighbours and their distance in Å.
Positions (direct):
Sc 0.6708 0.3292 0.1775  5 Al 3.00-3.17, 7 Re 3.02-3.16, 4 Sc 3.06-3.29
Sc 0.3331 0.6669 0.6890  5 Re 3.06-3.12, 7 Al 3.07-3.15, 4 Sc 3.25-3.29
Sc 0.3331 0.6669 0.3110  5 Re 3.06-3.12, 7 Al 3.07-3.15, 4 Sc 3.25-3.29
Sc 0.6708 0.3292 0.8225  5 Al 3.00-3.17, 7 Re 3.02-3.16, 4 Sc 3.06-3.29
Re 0.1727 0.3466 0.0000  4 Re 2.55-2.76, 2 Al 2.65
Re 0.1676 0.8324 0.0000  4 Re 2.58-2.70, 2 Al 2.67
Re 0.6534 0.8273 0.0000  4 Re 2.55-2.76, 2 Al 2.65
Re 0.8339 0.1661 0.5000  6 Al 2.58-2.69
Al 0.3443 0.1654 0.5000  2 Re 2.58-2.69, 4 Al 2.60-2.71
Al 0.9928 0.0072 0.2486  4 Re 2.61-2.67, 2 Al 2.70
Al 0.8346 0.6557 0.5000  2 Re 2.58-2.69, 4 Al 2.60-2.71
Al 0.9928 0.0072 0.7514  4 Re 2.61-2.67, 2 Al 2.70

=====

Entry 6:
Below is a relaxed NaPr2Hg8 crystal, with properties calculated at the PBE-GGA level.

Properties
Energy relative to the elements: -0.296 eV per atom
Mass density: 11.06 g/cm3

Cell lengths 5.1919, 7.2854, 8.7032 Å; angles 112.97, 107.35, 90.00 degrees
Last column: nearest neighbours and their distance in Å.
Positions (direct):
Na 0.5000 0.0000 0.0000  4 Hg 2.93-2.94
Hg 0.9969 0.2847 0.9937  7 Hg 3.10-3.35, 2 Na 3.34, 1 Pr 3.36
Hg 0.0031 0.7153 0.0063  7 Hg 3.10-3.35, 2 Na 3.34, 1 Pr 3.36
Hg 0.1588 0.1619 0.3175  7 Hg 3.16-3.37, 2 Pr 3.36, 2 Na 3.54
Hg 0.6286 0.4221 0.2573  1 Na 2.94, 3 Hg 3.11-3.28, 3 Pr 3.18-3.26
Hg 0.3714 0.5779 0.7427  1 Na 2.94, 3 Hg 3.11-3.28, 3 Pr 3.18-3.26
Hg 0.6427 0.8616 0.2854  1 Na 2.93, 1 Hg 3.11, 3 Pr 3.19-3.23
Hg 0.8412 0.8381 0.6825  7 Hg 3.16-3.37, 2 Pr 3.36, 2 Na 3.54
Hg 0.3573 0.1384 0.7146  1 Na 2.93, 1 Hg 3.11, 3 Pr 3.19-3.23
Pr 0.2009 0.6906 0.4017  10 Hg 3.18-3.47
Pr 0.7991 0.3094 0.5983  10 Hg 3.18-3.47

=====

Entry 7:
Below is a relaxed SnGePbO5 crystal, with properties calculated at the PBE-GGA level.

Properties
Mass density: 6.92 g/cm3
Total energy: -6.19 eV/atom

Cell lengths 5.9248, 5.9248, 7.4889 Å; angles 104.39, 104.39, 106.37 degrees
Last column: nearest neighbours and their distance in Å.
Positions (direct):
O 0.3811 0.2391 0.0809  1 Ge 1.78
O 0.1070 0.6912 0.8880  1 Ge 1.80
O 0.2391 0.3811 0.5809  1 Ge 1.78
O 0.3088 0.8930 0.6120  1 Ge 1.80
O 0.8930 0.3088 0.1120  1 Ge 1.80
O 0.7609 0.6189 0.4191  1 Ge 1.78
O 0.0764 0.9236 0.2500  2 Sn 2.01
O 0.6912 0.1070 0.3880  1 Ge 1.80
O 0.6189 0.7609 0.9191  1 Ge 1.78
O 0.9236 0.0764 0.7500  2 Sn 2.01
Ge 0.6846 0.3154 0.2500  4 O 1.78-1.80
Ge 0.3154 0.6846 0.7500  4 O 1.78-1.80
Pb 0.6724 0.3276 0.7500  3 O 2.38-2.60
Pb 0.3276 0.6724 0.2500  3 O 2.38-2.60
Sn 0.0000 0.0000 0.0000  6 O 2.01-2.15
Sn 0.0000 0.0000 0.5000  6 O 2.01-2.15

=====

Entry 8:
Below is a relaxed CdCuHg crystal, with properties calculated at the PBE-GGA level.

Properties
Energy relative to the elements: 0.132 eV per atom
Mass density: 11.11 g/cm3
ΔE to the lowest computed polymorph: 59 meV per atom

Cell lengths 5.6691, 5.6691, 5.6691 Å; angles 146.14, 146.17, 48.62 degrees
Last column: nearest neighbours and their distance in Å.
Positions (direct):
Cd 0.9838 0.9838 0.0000  4 Cu 2.80, 5 Hg 3.11-3.12
Hg 0.6822 0.6822 0.0000  4 Cu 2.81, 5 Cd 3.11-3.12
Cu 0.3340 0.3340 0.0000  4 Cd 2.80, 4 Hg 2.81

=====

Entry 9:
Below is a relaxed AsWSe2 crystal, with properties calculated at the PBE-GGA level.

Properties
Mass density: 8.94 g/cm3
Total energy: -5.79 eV/atom

Cell lengths 4.4127, 4.4127, 5.8834 Å; angles 83.80, 83.80, 42.87 degrees
Last column: nearest neighbours and their distance in Å.
Positions (direct):
As 0.2500 0.2500 0.2500  2 Se 2.61
Se 0.0348 0.0348 0.9570  3 W 2.59-2.76, 1 As 2.61
Se 0.4652 0.4652 0.5430  3 W 2.59-2.76, 1 As 2.61
W 0.7500 0.7500 0.7500  6 Se 2.59-2.76